{"formula": "KGe3N", "functional": "PBE", "state": "relaxed", "formation_energy_uncorrected_mev_per_atom": 717, "relative_energy_kj_per_mol_atoms": 0.00, "density_g_cm3": 4.4, "total_energy_ev_per_atom": -3.938, "cell": [[-0.214, -2.030, 4.203], [4.264, 1.627, 1.003], [-1.899, 3.882, 1.778]], "species": ["Ge", "Ge", "Ge", "K", "N"], "fractional_positions": [[0.000, 0.500, 0.000], [0.500, 0.000, 0.000], [0.000, 0.000, 0.500], [0.500, 0.500, 0.500], [0.000, 0.000, 0.000]]}